No. 1
{
  "formula": "NdY3B4O12",
  "functional": "PBE",
  "state": "relaxed",
  "m_tot_mub_per_fu": 0.0,
  "raw_formation_energy_ev_per_atom": -3.0608,
  "density_g_cm3": 4.2,
  "cell": [[-6.447, -0.285, 1.069], [2.442, -2.512, 5.524], [1.249, 6.383, 0.699]],
  "species": ["Nd", "Y", "Y", "Y", "B", "B", "B", "B", "O", "O", "O", "O", "O", "O", "O", "O", "O", "O", "O", "O"],
  "frac_coords": [[0.000, 0.000, 0.000], [0.535, 0.465, 0.000], [0.465, 0.000, 0.535], [0.000, 0.535, 0.465], [0.964, 0.036, 0.500], [0.036, 0.500, 0.964], [0.500, 0.964, 0.036], [0.500, 0.500, 0.500], [0.500, 0.365, 0.635], [0.901, 0.500, 0.099], [0.099, 0.901, 0.500], [0.500, 0.099, 0.901], [0.365, 0.972, 0.174], [0.174, 0.365, 0.972], [0.972, 0.174, 0.365], [0.635, 0.826, 0.028], [0.028, 0.635, 0.826], [0.826, 0.028, 0.635], [0.635, 0.500, 0.365], [0.365, 0.635, 0.500]]
}

No. 2
{
  "formula": "NdZnB5O10",
  "functional": "PBE",
  "state": "relaxed",
  "m_tot_mub_per_fu": 0.0,
  "raw_formation_energy_ev_per_atom": -2.5083,
  "density_g_cm3": 4.4,
  "cell": [[-0.447, 3.889, 6.621], [-7.691, -3.864, 1.749], [4.163, -7.267, 4.549]],
  "species": ["Nd", "Nd", "Nd", "Nd", "Zn", "Zn", "Zn", "Zn", "B", "B", "B", "B", "B", "B", "B", "B", "B", "B", "B", "B", "B", "B", "B", "B", "B", "B", "B", "B", "O", "O", "O", "O", "O", "O", "O", "O", "O", "O", "O", "O", "O", "O", "O", "O", "O", "O", "O", "O", "O", "O", "O", "O", "O", "O", "O", "O", "O", "O", "O", "O", "O", "O", "O", "O", "O", "O", "O", "O"],
  "frac_coords": [[0.816, 0.184, 0.763], [0.316, 0.316, 0.737], [0.184, 0.816, 0.237], [0.684, 0.684, 0.263], [0.589, 0.610, 0.877], [0.089, 0.890, 0.623], [0.411, 0.390, 0.123], [0.911, 0.110, 0.377], [0.421, 0.914, 0.738], [0.814, 0.430, 0.086], [0.314, 0.070, 0.414], [0.186, 0.570, 0.914], [0.686, 0.930, 0.586], [0.098, 0.347, 0.500], [0.598, 0.153, 0.000], [0.902, 0.653, 0.500], [0.402, 0.847, 0.000], [0.921, 0.586, 0.762], [0.579, 0.086, 0.262], [0.079, 0.414, 0.238], [0.674, 0.484, 0.607], [0.174, 0.016, 0.893], [0.326, 0.516, 0.393], [0.826, 0.984, 0.107], [0.468, 0.719, 0.554], [0.968, 0.781, 0.946], [0.532, 0.281, 0.446], [0.032, 0.219, 0.054], [0.788, 0.469, 0.734], [0.346, 0.500, 0.931], [0.846, 0.000, 0.569], [0.654, 0.500, 0.069], [0.154, 0.000, 0.431], [0.546, 0.233, 0.883], [0.046, 0.267, 0.617], [0.454, 0.767, 0.117], [0.288, 0.031, 0.766], [0.954, 0.733, 0.383], [0.712, 0.969, 0.234], [0.212, 0.531, 0.266], [0.465, 0.818, 0.868], [0.965, 0.682, 0.632], [0.535, 0.182, 0.132], [0.035, 0.318, 0.368], [0.586, 0.987, 0.692], [0.086, 0.513, 0.808], [0.414, 0.013, 0.308], [0.914, 0.487, 0.192], [0.350, 0.815, 0.632], [0.850, 0.685, 0.868], [0.650, 0.185, 0.368], [0.150, 0.315, 0.132], [0.527, 0.586, 0.647], [0.027, 0.914, 0.853], [0.473, 0.414, 0.353], [0.973, 0.086, 0.147], [0.606, 0.329, 0.583], [0.106, 0.171, 0.917], [0.394, 0.671, 0.417], [0.875, 0.313, 0.009], [0.774, 0.542, 0.485], [0.274, 0.958, 0.015], [0.226, 0.458, 0.515], [0.726, 0.042, 0.985], [0.625, 0.813, 0.509], [0.125, 0.687, 0.991], [0.375, 0.187, 0.491], [0.894, 0.829, 0.083]]
}

No. 3
{
  "formula": "NdB4Os",
  "functional": "PBE",
  "state": "relaxed",
  "formation_enthalpy_0k_mev_per_atom": -471,
  "m_tot_mub_per_fu": 0.0,
  "density_g_cm3": 9.7,
  "cell": [[-1.049, 3.114, 1.553], [-4.928, -2.772, 2.230], [5.987, -2.828, 9.714]],
  "species": ["Nd", "Nd", "Nd", "Nd", "B", "B", "B", "B", "B", "B", "B", "B", "B", "B", "B", "B", "B", "B", "B", "B", "Os", "Os", "Os", "Os"],
  "frac_coords": [[0.000, 0.626, 0.350], [0.000, 0.374, 0.650], [0.000, 0.126, 0.150], [0.000, 0.874, 0.850], [0.500, 0.783, 0.184], [0.500, 0.217, 0.816], [0.500, 0.283, 0.316], [0.500, 0.717, 0.684], [0.500, 0.860, 0.031], [0.500, 0.140, 0.969], [0.500, 0.360, 0.469], [0.500, 0.640, 0.531], [0.500, 0.889, 0.455], [0.500, 0.111, 0.545], [0.500, 0.389, 0.045], [0.500, 0.611, 0.955], [0.500, 0.974, 0.311], [0.500, 0.026, 0.689], [0.500, 0.474, 0.189], [0.500, 0.526, 0.811], [0.000, 0.639, 0.092], [0.000, 0.361, 0.908], [0.000, 0.139, 0.408], [0.000, 0.861, 0.592]]
}